No. 1
First-principles (PBE) data for a geometry-optimized ErTmCl6 structure, as listed in the Alexandria database.

The structure in CIF format:
```
data_ErTmCl6
_chemical_formula_sum 'Er3 Tm3 Cl18'
_symmetry_space_group_name_H-M 'R -3'
_symmetry_Int_Tables_number 148
_symmetry_space_group_name_Hall '-R 3'
_cell_length_a 6.6692
_cell_length_b 6.6692
_cell_length_c 18.0721
_cell_angle_alpha 90.00
_cell_angle_beta 90.00
_cell_angle_gamma 120.00
loop_
_atom_site_label
_atom_site_type_symbol
_atom_site_fract_x
_atom_site_fract_y
_atom_site_fract_z
Er1 Er 0.0000 0.0000 0.0000
Tm1 Tm 0.0000 0.0000 0.5000
Cl1 Cl 0.0010 0.3565 0.2498
```

## Properties
The electronic total energy is -114.27 eV per cell. For the energy relative to the elements, uncorrected, the calculation gives -2.247 eV/atom.


No. 2
First-principles (PBE) data for a geometry-optimized ErTm2Cl structure, as listed in the Alexandria database.

The structure in CIF format:
```
data_ErTm2Cl
_chemical_formula_sum 'Er3 Tm6 Cl3'
_symmetry_space_group_name_H-M 'R -3 m'
_symmetry_Int_Tables_number 166
_symmetry_space_group_name_Hall '-R 3 2"'
_cell_length_a 3.3924
_cell_length_b 3.3924
_cell_length_c 33.3459
_cell_angle_alpha 90.00
_cell_angle_beta 90.00
_cell_angle_gamma 120.00
loop_
_atom_site_label
_atom_site_type_symbol
_atom_site_fract_x
_atom_site_fract_y
_atom_site_fract_z
Er1 Er 0.0000 0.0000 0.0000
Tm1 Tm 0.0000 0.0000 0.1002
Cl1 Cl 0.0000 0.0000 0.5000
```

## Properties
The electronic total energy is -49.84 eV per cell. For the energy relative to the elements, uncorrected, the calculation gives -0.315 eV/atom.